1.
Entry from the Alexandria database: crystalline Co3Br4 at its relaxed geometry (PBEsol).

## Properties
Energy ... -3.53 eV per atom
Crystal system ... hexagonal
Energy relative to the elements, uncorrected ... 0.86 eV per atom

a b c (Å): 5.4156 5.4156 5.0572
angles (deg): 90.00 90.00 120.00
With the nearest neighbours (Å) after each atom.
Space group P6/mmm (No. 191)
Asymmetric unit:
1 Co 0.0000 0.5000 0.0000 x3  4 Co 2.71, 8 Br 2.97-2.98
2 Br 0.0000 0.0000 0.2481 x2  2 Br 2.51-2.55
3 Br 0.3333 0.6667 0.5000 x2  6 Co 2.97, 3 Br 3.13

2.
Entry from the Alexandria database: crystalline CoBr2 at its relaxed geometry (PBEsol).

## Properties
Energy ... -4.04 eV per atom
Crystal system ... trigonal
Energy relative to the elements, uncorrected ... -0.22 eV per atom

a b c (Å): 3.6051 3.6051 6.2942
angles (deg): 90.00 90.00 120.00
With the nearest neighbours (Å) after each atom.
Space group P-3m1 (No. 164)
Asymmetric unit:
1 Co 0.0000 0.0000 0.0000 x1  6 Br 2.53
2 Br 0.3333 0.6667 0.2274 x2  3 Co 2.53

3.
Entry from the Alexandria database: crystalline CoBr2 at its relaxed geometry (PBEsol).

## Properties
Energy ... -4.01 eV per atom
Crystal system ... orthorhombic
Energy relative to the elements, uncorrected ... -0.19 eV per atom

a b c (Å): 9.3235 3.4891 9.8494
angles (deg): 90.00 90.00 90.00
With the nearest neighbours (Å) after each atom.
Space group Pnma (No. 62)
Asymmetric unit:
1 Co 0.1279 0.2500 0.0277 x4  5 Br 2.37-2.51
2 Br 0.0110 0.7500 0.1741 x4  3 Co 2.37-2.51
3 Br 0.1987 0.2500 0.4783 x4  2 Co 2.43

4.
Entry from the Alexandria database: crystalline Co2Br at its relaxed geometry (PBEsol).

## Properties
Energy ... -5.77 eV per atom
Energy relative to the lowest polymorph listed for this composition ... 0.000 eV/atom
Crystal system ... orthorhombic
Energy relative to the elements, uncorrected ... 0.01 eV per atom

a b c (Å): 3.5627 16.0866 3.5185
angles (deg): 90.00 90.00 90.00
With the nearest neighbours (Å) after each atom.
Space group Cmcm (No. 63)
Asymmetric unit:
1 Co 0.0000 0.0486 0.2500 x4  8 Co 2.35-2.50, 2 Br 2.51
2 Co 0.0000 0.4496 0.2500 x4  8 Co 2.39-2.50, 2 Br 2.47
3 Br 0.0000 0.3416 0.7500 x4  4 Co 2.47-2.51